Record 1
Compound: RhBr2Cl
Source: Alexandria
Functional: PBE-GGA
Structure: optimized geometry

Properties
Excess energy over the best structure of this formula in the dataset = 1093 meV per atom
Calculated total energy = -9.5 eV per cell

The structure in POSCAR format:
```
RhBr2Cl
1.0
-2.257 -1.839 4.072
4.127 -2.607 1.109
1.100 2.477 1.729
Cl Br Rh
1 2 1
Direct
0.500 0.000 0.500
0.500 0.500 0.000
0.000 0.000 0.000
0.000 0.500 0.500
```


Record 2
Compound: RhBrCl2
Source: Alexandria
Functional: PBE-GGA
Structure: optimized geometry

Properties
Excess energy over the best structure of this formula in the dataset = 411 meV per atom
Calculated total energy = -12.7 eV per cell

The structure in POSCAR format:
```
RhBrCl2
1.0
-0.432 6.847 -1.731
-0.699 3.277 -6.232
-2.017 -4.472 5.099
Cl Rh Br
2 1 1
Direct
0.643 0.143 0.500
0.003 0.003 0.000
0.503 0.503 0.000
0.350 0.850 0.500
```


Record 3
Compound: RhBrCl2
Source: Alexandria
Functional: PBE-GGA
Structure: optimized geometry

Properties
Excess energy over the best structure of this formula in the dataset = 0 meV per atom
Calculated total energy = -14.4 eV per cell

The structure in POSCAR format:
```
RhBrCl2
1.0
-2.812 1.375 -1.558
-2.994 -2.577 3.129
-2.746 3.988 4.556
Cl Rh Br
2 1 1
Direct
0.358 0.863 0.285
0.627 0.122 0.746
0.991 0.991 0.018
0.024 0.524 0.951
```


Record 4
Compound: RhBrCl2
Source: Alexandria
Functional: PBE-GGA
Structure: optimized geometry

Properties
Excess energy over the best structure of this formula in the dataset = 558 meV per atom
Calculated total energy = -12.1 eV per cell

The structure in POSCAR format:
```
RhBrCl2
1.0
-4.287 9.575 6.528
-1.366 9.902 7.264
-2.438 11.156 4.721
Cl Rh Br
2 1 1
Direct
0.940 0.940 0.940
0.060 0.060 0.060
0.000 0.000 0.000
0.500 0.500 0.500
```


Record 5
Compound: Rh2BrCl
Source: Alexandria
Functional: PBE-GGA
Structure: optimized geometry

Properties
Excess energy over the best structure of this formula in the dataset = 547 meV per atom
Calculated total energy = -16.2 eV per cell

The structure in POSCAR format:
```
Rh2BrCl
1.0
3.025 0.000 0.000
0.000 5.717 0.000
0.000 0.000 4.120
Cl Br Rh
1 1 2
Direct
0.000 0.500 0.500
0.500 0.000 0.500
0.000 0.000 0.000
0.500 0.500 0.000
```


Record 6
Compound: RhBrCl2
Source: Alexandria
Functional: PBE-GGA
Structure: optimized geometry

Properties
Excess energy over the best structure of this formula in the dataset = 369 meV per atom
Calculated total energy = -12.9 eV per cell

The structure in POSCAR format:
```
RhBrCl2
1.0
2.021 0.000 9.696
-1.011 1.751 9.696
-1.011 -1.751 9.696
Br Rh Cl
1 1 2
Direct
0.000 0.000 0.000
0.500 0.500 0.500
0.120 0.120 0.120
0.880 0.880 0.880
```


Record 7
Compound: RhBrCl2
Source: Alexandria
Functional: PBE-GGA
Structure: optimized geometry

Properties
Excess energy over the best structure of this formula in the dataset = 1196 meV per atom
Calculated total energy = -9.6 eV per cell

The structure in POSCAR format:
```
RhBrCl2
1.0
5.110 0.034 0.000
-0.072 5.109 0.000
0.000 0.000 3.142
Rh Br Cl
1 1 2
Direct
0.500 0.000 0.500
0.000 0.500 0.500
0.000 0.000 0.000
0.500 0.500 0.000
```


Record 8
Compound: RhBr2Cl
Source: Alexandria
Functional: PBE-GGA
Structure: optimized geometry

Properties
Excess energy over the best structure of this formula in the dataset = 212 meV per atom
Calculated total energy = -13.0 eV per cell

The structure in POSCAR format:
```
RhBr2Cl
1.0
-1.891 3.163 -0.830
-2.882 1.104 2.177
2.897 5.167 4.492
Br Cl Rh
2 1 1
Direct
0.521 0.521 0.438
0.979 0.979 0.062
0.750 0.750 0.750
0.250 0.250 0.250
```


Number 1: E_form (uncorrected) 0.75 eV per atom. Number 2: E_form (uncorrected) 0.00 eV per atom. Number 3: E_form (uncorrected) -0.41 eV per atom. Number 4: E_form (uncorrected) 0.15 eV per atom. Number 5: E_form (uncorrected) 0.51 eV per atom. Number 6: E_form (uncorrected) -0.04 eV per atom. Number 7: E_form (uncorrected) 0.79 eV per atom. Number 8: E_form (uncorrected) -0.13 eV per atom.